{"formula": "YHfMo", "functional": "PBE", "state": "relaxed", "relative_energy_ev_per_atom": 0.021, "sg": "No. 8", "lattice_angstrom": [[7.8080, 0.0000, -0.0013], [0.0000, 3.3545, 0.0000], [-3.8271, 0.0000, 10.3098]], "species": ["Y", "Y", "Hf", "Mo", "Y", "Y", "Mo", "Hf", "Hf", "Mo", "Hf", "Mo"], "frac_coords": [[0.5919, 0.5000, 0.3958], [0.4027, 0.5000, 0.0820], [0.0231, 0.5000, 0.4190], [0.8907, 0.0000, 0.5971], [0.5919, 0.0000, 0.8958], [0.4027, 0.0000, 0.5820], [0.7726, 0.5000, 0.7278], [0.1801, 0.0000, 0.2439], [0.1801, 0.5000, 0.7439], [0.8907, 0.5000, 0.0971], [0.0231, 0.0000, 0.9190], [0.7726, 0.0000, 0.2278]]}